The following is a DFT calculation (PBE) of CeScTlIn after structural relaxation.

abc: 5.295 5.295 5.295
angles: 60.00 60.00 60.00
Fractional positions:
Tl (0.250, 0.250, 0.250)
In (0.750, 0.750, 0.750)
Ce (0.500, 0.500, 0.500)
Sc (0.000, 0.000, 0.000)

Energy of formation = -1.19 eV per formula unit
Crystal system = cubic
E above lowest polymorph = 2 meV/atom
Calculated density = 7.98 Mg/m³
Density of states at the Fermi level = 2.02 states/eV/atom